[1]
First-principles (PBE-GGA) data for an optimized crystal structure of DyThNiIr, as listed in the Alexandria database.

a = 4.9348 Å, b = 4.9348 Å, c = 4.9348 Å
α = 60.00°, β = 60.00°, γ = 60.00°
With the nearest neighbours (Å) after each atom.
Fractional positions:
Dy 0.0000 0.0000 0.0000  4 Ir 3.02, 4 Ni 3.02
Th 0.5000 0.5000 0.5000  4 Ni 3.02, 4 Ir 3.02
Ni 0.2500 0.2500 0.2500  4 Dy 3.02, 4 Th 3.02
Ir 0.7500 0.7500 0.7500  4 Dy 3.02, 4 Th 3.02

## Properties
* energy of formation from the pure elements: -584.6 meV/atom
* energy relative to the lowest polymorph listed for this composition: 114 meV/atom
* N(E_F): 0.927 states/eV per atom
* space-group type: No. 216

[2]
First-principles (PBE-GGA) data for an optimized crystal structure of DyYNiIr, as listed in the Alexandria database.

a = 4.8268 Å, b = 4.8268 Å, c = 4.8268 Å
α = 60.00°, β = 60.00°, γ = 60.00°
With the nearest neighbours (Å) after each atom.
Fractional positions:
Dy 0.0000 0.0000 0.0000  4 Ni 2.96, 4 Ir 2.96
Y 0.5000 0.5000 0.5000  4 Ni 2.96, 4 Ir 2.96
Ni 0.7500 0.7500 0.7500  4 Dy 2.96, 4 Y 2.96
Ir 0.2500 0.2500 0.2500  4 Dy 2.96, 4 Y 2.96

## Properties
* energy of formation from the pure elements: -632.5 meV/atom
* N(E_F): 0.537 states/eV per atom
* space-group type: No. 216

[3]
First-principles (PBE-GGA) data for an optimized crystal structure of DyZnNiIr, as listed in the Alexandria database.

a = 4.5369 Å, b = 4.5369 Å, c = 4.5369 Å
α = 60.00°, β = 60.00°, γ = 60.00°
With the nearest neighbours (Å) after each atom.
Fractional positions:
Dy 0.0000 0.0000 0.0000  4 Ni 2.78, 4 Ir 2.78
Zn 0.5000 0.5000 0.5000  4 Ni 2.78, 4 Ir 2.78
Ni 0.7500 0.7500 0.7500  4 Dy 2.78, 4 Zn 2.78
Ir 0.2500 0.2500 0.2500  4 Dy 2.78, 4 Zn 2.78

## Properties
* energy of formation from the pure elements: -374.9 meV/atom
* N(E_F): 0.323 states/eV per atom
* space-group type: No. 216